1.
# ThBeGa2Ni4

A geometry-optimized ThBeGa2Ni4 structure (PBE, Alexandria via LeMat-Bulk).

Summary:
M_tot, μB per cell: 0.0
DFT total energy, eV per atom: -5.493
Symmetry: No. 166
Energy of formation, eV/f.u.: -3.6

Unit cell a=8.488 b=8.488 c=8.488 alpha=27.33 beta=27.33 gamma=27.33
Atoms (fractional coordinates):
Th 0.000 0.000 0.000
Be 0.500 0.500 0.500
Ga 0.235 0.235 0.235
Ga 0.765 0.765 0.765
Ni 0.135 0.135 0.135
Ni 0.408 0.408 0.408
Ni 0.592 0.592 0.592
Ni 0.865 0.865 0.865

---

2.
# Ti2BeGa2Ni7

A geometry-optimized Ti2BeGa2Ni7 structure (PBE, Alexandria via LeMat-Bulk).

Summary:
M_tot, μB per cell: 0.0
DFT total energy, eV per atom: -5.626
Symmetry: No. 139
Energy of formation, eV/f.u.: -1.5

Unit cell a=14.542 b=14.542 c=14.542 alpha=167.07 beta=167.07 gamma=18.32
Atoms (fractional coordinates):
Ti 0.131 0.131 0.000
Ti 0.869 0.869 0.000
Be 0.500 0.500 0.000
Ga 0.311 0.311 0.000
Ga 0.689 0.689 0.000
Ni 0.000 0.000 0.000
Ni 0.064 0.564 0.500
Ni 0.225 0.225 0.000
Ni 0.436 0.936 0.500
Ni 0.564 0.064 0.500
Ni 0.775 0.775 0.000
Ni 0.936 0.436 0.500

---

3.
# TiBeGaNi

A geometry-optimized TiBeGaNi structure (PBE, Alexandria via LeMat-Bulk).

Summary:
M_tot, μB per cell: 0.0
DFT total energy, eV per atom: -5.451
Symmetry: No. 216
Energy of formation, eV/f.u.: -1.4

Unit cell a=4.119 b=4.119 c=4.119 alpha=60.00 beta=60.00 gamma=60.00
Atoms (fractional coordinates):
Ti 0.000 0.000 0.000
Be 0.750 0.750 0.750
Ga 0.500 0.500 0.500
Ni 0.250 0.250 0.250